# 1
Density functional theory data (PBE-GGA) for a geometry-optimized KCaNi structure.

Calculated values
Space-group type   P3m1 (156)
Raw total energy   -7.67 eV/cell

Cell: 4.1442 4.1442 7.3673 Å, 90.00 90.00 120.00°
Last column: nearest neighbours and their distance in Å.
Positions (direct):
Ca (0.0000, 0.0000, 0.8849)  3 Ni 2.74
K (0.3333, 0.6667, 0.4101)  3 Ni 3.23
Ni (0.6667, 0.3333, 0.7050)  3 Ca 2.74

---

# 2
Density functional theory data (PBE-GGA) for a geometry-optimized LiGdZrPt structure.

Calculated values
Space-group type   F-43m (216)
Raw total energy   -32.39 eV/cell

Cell: 4.8745 4.8745 4.8745 Å, 60.00 60.00 60.00°
Last column: nearest neighbours and their distance in Å.
Positions (direct):
Gd (0.7500, 0.7500, 0.7500)  4 Pt 2.99, 4 Li 2.99
Zr (0.2500, 0.2500, 0.2500)  4 Li 2.99, 4 Pt 2.99
Pt (0.0000, 0.0000, 0.0000)  4 Gd 2.99, 4 Zr 2.99
Li (0.5000, 0.5000, 0.5000)  4 Gd 2.99, 4 Zr 2.99

---

Ordered formation enthalpy at 0 K results: 39.1, -43.5; unit kJ/mol of atoms.